Crystalline Tl2FeGeO4 at its relaxed geometry, computed with PBE+U.

The structure in POSCAR format:
```
Tl2FeGeO4
1.0
6.0115 -0.0698 -0.1799
-0.0755 5.7452 -0.1574
-3.0710 -2.9224 4.1052
Tl O Fe Ge
2 4 1 1
direct
0.4981 0.0024 0.9909
0.2596 0.2499 0.4861
0.4014 0.7802 0.2811
0.7143 0.5045 0.5853
0.0221 0.0895 0.8270
0.7682 0.5324 0.1505
0.9918 0.4924 0.9831
0.7315 0.7358 0.4702
```

Computed properties:
Total energy = -5.60 eV/atom
M_tot = 4.00 μB per cell
Space-group type = P1